(1)
Compound: InAgSe2
Source: Alexandria via LeMat-Bulk
Functional: PBE
Structure: optimized geometry

Properties
E_form (uncorrected), meV per atom: -213
SG: R3m, No. 160
D(E_F), states/eV/cell: 1.07

abc: 3.935 3.935 7.313
angles: 74.39 74.39 60.00
Element x y z (fractional)
In 0.500 0.500 0.500
Ag 0.669 0.669 0.993
Se 0.081 0.081 0.756
Se 0.250 0.250 0.251

(2)
Compound: InAgSe
Source: Alexandria via LeMat-Bulk
Functional: PBE
Structure: optimized geometry

Properties
E_form (uncorrected), meV per atom: -22
SG: I4mm, No. 107
D(E_F), states/eV/cell: 0.59

abc: 5.216 5.218 3.967
angles: 67.63 67.68 44.69
Element x y z (fractional)
Ag 0.995 0.995 0.005
In 0.329 0.329 0.671
Se 0.676 0.676 0.324

(3)
Compound: InAgSe2
Source: Alexandria via LeMat-Bulk
Functional: PBE
Structure: optimized geometry

Properties
E_form (uncorrected), meV per atom: 205
SG: F-43m, No. 216
D(E_F), states/eV/cell: 2.44

abc: 4.990 4.990 4.990
angles: 60.00 60.00 60.00
Element x y z (fractional)
Ag 0.500 0.500 0.500
In 0.750 0.750 0.750
Se 0.000 0.000 0.000
Se 0.250 0.250 0.250

(4)
Compound: InAgSe2
Source: Alexandria via LeMat-Bulk
Functional: PBE
Structure: optimized geometry

Properties
E_form (uncorrected), meV per atom: -287
SG: P4/mmm, No. 123
D(E_F), states/eV/cell: 1.20

abc: 4.045 4.045 5.620
angles: 90.00 90.00 90.00
Element x y z (fractional)
In 0.500 0.500 0.500
Ag 0.000 0.000 0.000
Se 0.000 0.000 0.500
Se 0.500 0.500 0.000

(5)
Compound: InAgSe2
Source: Alexandria via LeMat-Bulk
Functional: PBE
Structure: optimized geometry

Properties
E_form (uncorrected), meV per atom: 113
SG: Cmmm, No. 65
D(E_F), states/eV/cell: 1.23

abc: 3.135 3.135 9.319
angles: 90.00 90.00 90.34
Element x y z (fractional)
Ag 0.500 0.500 0.250
In 0.500 0.500 0.750
Se 0.000 0.000 0.036
Se 0.000 0.000 0.464

(6)
Compound: InAgSe2
Source: Alexandria via LeMat-Bulk
Functional: PBE
Structure: optimized geometry

Properties
E_form (uncorrected), meV per atom: -79
SG: Immm, No. 71
D(E_F), states/eV/cell: 0.91

abc: 5.802 5.802 5.802
angles: 141.43 94.02 98.52
Element x y z (fractional)
Ag 0.750 0.250 0.500
In 0.250 0.750 0.500
Se 0.996 0.996 0.000
Se 0.504 0.504 0.000

(7)
Compound: InAgSe2
Source: Alexandria via LeMat-Bulk
Functional: PBE
Structure: optimized geometry

Properties
E_form (uncorrected), meV per atom: 165
SG: R-3m, No. 166
D(E_F), states/eV/cell: 2.16

abc: 10.233 10.233 10.233
angles: 18.23 18.23 18.23
Element x y z (fractional)
Se 0.903 0.903 0.903
Se 0.097 0.097 0.097
Ag 0.500 0.500 0.500
In 0.000 0.000 0.000

(8)
Compound: InAgSe2
Source: Alexandria via LeMat-Bulk
Functional: PBE
Structure: optimized geometry

Properties
E_form (uncorrected), meV per atom: 37
SG: Cmmm, No. 65
D(E_F), states/eV/cell: 2.12

abc: 4.908 4.908 3.854
angles: 90.00 90.00 75.16
Element x y z (fractional)
Ag 0.500 0.000 0.500
In 0.000 0.500 0.500
Se 0.000 0.000 0.000
Se 0.500 0.500 0.000

What did the fourth record say?
Compound: InAgSe2
Source: Alexandria via LeMat-Bulk
Functional: PBE
Structure: optimized geometry

Properties
E_form (uncorrected), meV per atom: -287
SG: P4/mmm, No. 123
D(E_F), states/eV/cell: 1.20

abc: 4.045 4.045 5.620
angles: 90.00 90.00 90.00
Element x y z (fractional)
In 0.500 0.500 0.500
Ag 0.000 0.000 0.000
Se 0.000 0.000 0.500
Se 0.500 0.500 0.000